DFT (PBE) results for a geometry-optimized Y2CrAg structure.

abc: 4.9853 4.9853 6.3702
angles: 80.19 80.19 39.82
With the nearest neighbours (Å) after each atom.
Atoms (fractional coordinates):
Ag (0.7500, 0.7500, 0.7500)  6 Y 3.10-3.11, 2 Ag 3.40
Cr (0.2500, 0.2500, 0.2500)  6 Y 3.01-3.09
Y (0.0023, 0.0023, 0.0079)  3 Cr 3.01-3.09, 3 Ag 3.10-3.11
Y (0.4977, 0.4977, 0.4921)  3 Cr 3.01-3.09, 3 Ag 3.10-3.11

The raw total energy comes out at -24.128 eV/f.u. The value obtained for the density of states at the Fermi level is 4.10 states/eV per cell. As for the crystal system: monoclinic. For the energy above the most stable polymorph in this dataset, the calculation gives 284 meV/atom. For the formation energy, the calculation gives 0.32 eV per atom.

---

DFT (PBE) results for a geometry-optimized Y2CrAg structure.

abc: 5.8590 5.8590 5.8590
angles: 136.22 136.22 63.64
With the nearest neighbours (Å) after each atom.
Atoms (fractional coordinates):
Ag (0.5000, 0.5000, 0.0000)  8 Y 3.09-3.31, 4 Cr 3.31
Cr (0.7500, 0.2500, 0.5000)  8 Y 3.09-3.31, 4 Ag 3.31
Y (0.0000, 0.0000, 0.0000)  4 Ag 3.09, 4 Cr 3.31, 4 Y 3.31
Y (0.2500, 0.7500, 0.5000)  4 Cr 3.09, 4 Y 3.31, 4 Ag 3.31

The raw total energy comes out at -24.568 eV/f.u. The value obtained for the density of states at the Fermi level is 4.58 states/eV per cell. As for the crystal system: tetragonal. For the energy above the most stable polymorph in this dataset, the calculation gives 174 meV/atom. For the formation energy, the calculation gives 0.21 eV per atom.

---

DFT (PBE) results for a geometry-optimized Y2CrAg structure.

abc: 5.1071 3.6509 5.1069
angles: 90.00 90.00 90.00
With the nearest neighbours (Å) after each atom.
Atoms (fractional coordinates):
Ag (0.0000, 0.6250, 0.3766)  8 Y 3.13-3.14
Cr (0.5000, 0.6250, 0.8735)  8 Y 3.13-3.14
Y (0.0000, 0.1253, 0.8755)  4 Ag 3.13-3.14, 4 Cr 3.14
Y (0.5000, 0.1246, 0.3743)  4 Cr 3.13-3.14, 4 Ag 3.14

The raw total energy comes out at -25.232 eV/f.u. The value obtained for the density of states at the Fermi level is 3.31 states/eV per cell. As for the crystal system: orthorhombic. For the energy above the most stable polymorph in this dataset, the calculation gives 8 meV/atom. For the formation energy, the calculation gives 0.04 eV per atom.

---

DFT (PBE) results for a geometry-optimized Y2CrAg structure.

abc: 3.6388 3.5616 8.0920
angles: 63.89 90.00 90.00
With the nearest neighbours (Å) after each atom.
Atoms (fractional coordinates):
Ag (0.5000, 0.2500, 0.2500)  8 Y 3.17
Cr (0.5000, 0.7500, 0.7500)  8 Y 3.09
Y (0.0000, 0.0089, 0.9912)  4 Cr 3.09, 4 Ag 3.17
Y (0.0000, 0.4911, 0.5088)  4 Cr 3.09, 4 Ag 3.17

The raw total energy comes out at -25.263 eV/f.u. The value obtained for the density of states at the Fermi level is 3.52 states/eV per cell. As for the crystal system: orthorhombic. For the energy above the most stable polymorph in this dataset, the calculation gives 0 meV/atom. For the formation energy, the calculation gives 0.03 eV per atom.

---

DFT (PBE) results for a geometry-optimized Y2CrAg structure.

abc: 6.1457 6.1457 6.1457
angles: 145.84 132.33 59.95
With the nearest neighbours (Å) after each atom.
Atoms (fractional coordinates):
Ag (0.4759, 0.4759, 0.0000)  2 Cr 2.79, 4 Y 3.10
Cr (0.2758, 0.7758, 0.5000)  2 Ag 2.79, 4 Y 3.10
Y (0.0133, 0.0133, 0.0000)  4 Ag 3.10, 2 Cr 3.33, 2 Y 3.43
Y (0.7350, 0.2350, 0.5000)  4 Cr 3.10, 2 Ag 3.30, 4 Y 3.43-3.47

The raw total energy comes out at -24.844 eV/f.u. The value obtained for the density of states at the Fermi level is 4.17 states/eV per cell. As for the crystal system: orthorhombic. For the energy above the most stable polymorph in this dataset, the calculation gives 105 meV/atom. For the formation energy, the calculation gives 0.14 eV per atom.

---

DFT (PBE) results for a geometry-optimized Y2CrAg structure.

abc: 4.4453 4.4453 10.1857
angles: 77.40 77.40 90.00
With the nearest neighbours (Å) after each atom.
Atoms (fractional coordinates):
Y (0.6148, 0.1250, 0.2500)  2 Cr 2.87, 2 Ag 2.91, 4 Y 3.08-3.21
Y (0.1352, 0.6250, 0.2500)  2 Cr 2.87, 2 Ag 2.91, 4 Y 3.08-3.21
Y (0.3750, 0.3852, 0.7500)  2 Cr 2.87, 2 Ag 2.91, 4 Y 3.08-3.21
Y (0.8750, 0.8648, 0.7500)  2 Cr 2.87, 2 Ag 2.91, 4 Y 3.08-3.21
Cr (0.5000, 0.5000, 0.0000)  4 Y 2.87, 4 Ag 3.14
Cr (0.2500, 0.7500, 0.5000)  4 Y 2.87, 4 Ag 3.14
Ag (0.0000, 0.0000, 0.0000)  4 Y 2.91, 4 Cr 3.14
Ag (0.7500, 0.2500, 0.5000)  4 Y 2.91, 4 Cr 3.14

The raw total energy comes out at -21.624 eV/f.u. The value obtained for the density of states at the Fermi level is 14.16 states/eV per cell. As for the crystal system: tetragonal. For the energy above the most stable polymorph in this dataset, the calculation gives 910 meV/atom. For the formation energy, the calculation gives 0.94 eV per atom.

---

DFT (PBE) results for a geometry-optimized Y2CrAg structure.

abc: 3.7126 3.7107 7.1835
angles: 90.00 90.00 90.00
With the nearest neighbours (Å) after each atom.
Atoms (fractional coordinates):
Ag (0.0000, 0.0000, 0.5252)  4 Cr 3.00, 5 Y 3.09-3.11
Cr (0.5000, 0.5000, 0.7262)  4 Ag 3.00, 5 Y 3.10-3.11
Y (0.0000, 0.0000, 0.9549)  1 Ag 3.09, 4 Cr 3.10
Y (0.5000, 0.5000, 0.2938)  1 Cr 3.11, 4 Ag 3.11

The raw total energy comes out at -24.671 eV/f.u. The value obtained for the density of states at the Fermi level is 3.30 states/eV per cell. As for the crystal system: tetragonal. For the energy above the most stable polymorph in this dataset, the calculation gives 148 meV/atom. For the formation energy, the calculation gives 0.18 eV per atom.

---

DFT (PBE) results for a geometry-optimized YCrAg3 structure.

abc: 5.3925 5.3925 5.3925
angles: 90.00 90.00 90.00
With the nearest neighbours (Å) after each atom.
Atoms (fractional coordinates):
Y (0.0000, 0.0000, 0.0000)  6 Ag 2.70
Cr (0.5000, 0.5000, 0.5000)  12 Ag 3.81
Ag (0.0000, 0.5000, 0.0000)  2 Y 2.70
Ag (0.0000, 0.0000, 0.5000)  2 Y 2.70
Ag (0.5000, 0.0000, 0.0000)  2 Y 2.70

The raw total energy comes out at -18.395 eV/f.u. The value obtained for the density of states at the Fermi level is 2.58 states/eV per cell. As for the crystal system: cubic. For the energy above the most stable polymorph in this dataset, the calculation gives 681 meV/atom. For the formation energy, the calculation gives 1.25 eV per atom.

---

DFT (PBE) results for a geometry-optimized Y2CrAg structure.

abc: 10.0467 10.0467 10.0467
angles: 19.78 19.78 19.78
With the nearest neighbours (Å) after each atom.
Atoms (fractional coordinates):
Ag (0.4932, 0.4932, 0.4932)  3 Cr 2.85, 3 Y 3.12
Cr (0.7577, 0.7577, 0.7577)  3 Ag 2.85, 3 Y 3.16
Y (0.0080, 0.0080, 0.0080)  3 Cr 3.16, 6 Y 3.45
Y (0.2411, 0.2411, 0.2411)  3 Ag 3.12, 6 Y 3.45

The raw total energy comes out at -23.808 eV/f.u. The value obtained for the density of states at the Fermi level is 4.96 states/eV per cell. As for the crystal system: trigonal. For the energy above the most stable polymorph in this dataset, the calculation gives 364 meV/atom. For the formation energy, the calculation gives 0.40 eV per atom.

---

DFT (PBE) results for a geometry-optimized YCrAg3 structure.

abc: 4.9429 4.9429 4.9429
angles: 90.00 90.00 90.00
With the nearest neighbours (Å) after each atom.
Atoms (fractional coordinates):
Y (0.5000, 0.5000, 0.5000)  12 Ag 3.50
Cr (0.0000, 0.0000, 0.0000)  6 Ag 2.47
Ag (0.0000, 0.5000, 0.0000)  2 Cr 2.47
Ag (0.0000, 0.0000, 0.5000)  2 Cr 2.47
Ag (0.5000, 0.0000, 0.0000)  2 Cr 2.47

The raw total energy comes out at -21.799 eV/f.u. The value obtained for the density of states at the Fermi level is 3.22 states/eV per cell. As for the crystal system: cubic. For the energy above the most stable polymorph in this dataset, the calculation gives 0 meV/atom. For the formation energy, the calculation gives 0.57 eV per atom.

---

DFT (PBE) results for a geometry-optimized YCrAg4 structure.

abc: 5.5525 5.5525 5.5525
angles: 60.00 60.00 60.00
With the nearest neighbours (Å) after each atom.
Atoms (fractional coordinates):
Y (0.0000, 0.0000, 0.0000)  12 Ag 3.26, 4 Cr 3.40
Cr (0.7500, 0.7500, 0.7500)  12 Ag 3.25, 4 Y 3.40
Ag (0.8735, 0.3755, 0.3755)  6 Ag 2.77-2.79
Ag (0.3755, 0.3755, 0.8735)  6 Ag 2.77-2.79
Ag (0.3755, 0.8735, 0.3755)  6 Ag 2.77-2.79
Ag (0.3755, 0.3755, 0.3755)  6 Ag 2.77-2.79

The raw total energy comes out at -27.058 eV/f.u. The value obtained for the density of states at the Fermi level is 5.43 states/eV per cell. As for the crystal system: cubic. For the formation energy, the calculation gives 0.07 eV per atom.

---

DFT (PBE) results for a geometry-optimized Y3CrAg structure.

abc: 5.1681 5.1681 5.1681
angles: 90.00 90.00 90.00
With the nearest neighbours (Å) after each atom.
Atoms (fractional coordinates):
Y (0.0000, 0.5000, 0.0000)  2 Cr 2.58
Y (0.0000, 0.0000, 0.5000)  2 Cr 2.58
Y (0.5000, 0.0000, 0.0000)  2 Cr 2.58
Cr (0.0000, 0.0000, 0.0000)  6 Y 2.58
Ag (0.5000, 0.5000, 0.5000)  12 Y 3.65

The raw total energy comes out at -29.684 eV/f.u. The value obtained for the density of states at the Fermi level is 6.66 states/eV per cell. As for the crystal system: cubic. For the energy above the most stable polymorph in this dataset, the calculation gives 0 meV/atom. For the formation energy, the calculation gives 0.44 eV per atom.